Record 1
The following is a DFT calculation (PBE) of an optimized crystal structure of Ce4Pm2Bi3H2.

The size of the total moment is 4.009 μB/f.u. The value obtained for the uncorrected energy is -5.231 eV/atom.

The structure belongs to space group I4/mmm (No. 139); the cell edges are 4.599, 4.599 and 27.490 Å and the angles 90.00°, 90.00° and 90.00°. The inequivalent atoms are Ce at (0.000, 0.500, 0.085), Pm at (0.000, 0.000, 0.204), Bi at (0.000, 0.000, 0.323), Bi at (0.000, 0.000, 0.500) and H at (0.000, 0.000, 0.071).

***

Record 2
The following is a DFT calculation (PBE) of an optimized crystal structure of SrMo2Br.

The size of the total moment is 0.000 μB/f.u. The energy relative to the elements, uncorrected is 0.6438 eV per atom. The value obtained for the energy above the lowest structure with this stoichiometry is 0.560 eV/atom.

The structure belongs to space group Immm (No. 71); the cell edges are 3.238, 4.551 and 11.883 Å and the angles 90.00°, 90.00° and 90.00°. The inequivalent atoms are Sr at (0.000, 0.000, 0.000), Mo at (0.000, 0.500, 0.236) and Br at (0.000, 0.000, 0.500).

***

Record 3
The following is a DFT calculation (PBE) of an optimized crystal structure of LiIn3.

The size of the total moment is 0.000 μB/f.u. The value obtained for the uncorrected energy is -2.645 eV/atom.

The structure belongs to space group Cmmm (No. 65); the cell edges are 6.131, 9.703 and 3.263 Å and the angles 90.00°, 90.00° and 90.00°. The inequivalent atoms are Li at (0.000, 0.000, 0.000), In at (0.000, 0.500, 0.000) and In at (0.250, 0.250, 0.500).

***

Repeat the first record exactly.
The following is a DFT calculation (PBE) of an optimized crystal structure of Ce4Pm2Bi3H2.

The size of the total moment is 4.009 μB/f.u. The value obtained for the uncorrected energy is -5.231 eV/atom.

The structure belongs to space group I4/mmm (No. 139); the cell edges are 4.599, 4.599 and 27.490 Å and the angles 90.00°, 90.00° and 90.00°. The inequivalent atoms are Ce at (0.000, 0.500, 0.085), Pm at (0.000, 0.000, 0.204), Bi at (0.000, 0.000, 0.323), Bi at (0.000, 0.000, 0.500) and H at (0.000, 0.000, 0.071).

***

Repeat the first record exactly.
The following is a DFT calculation (PBE) of an optimized crystal structure of Ce4Pm2Bi3H2.

The size of the total moment is 4.009 μB/f.u. The value obtained for the uncorrected energy is -5.231 eV/atom.

The structure belongs to space group I4/mmm (No. 139); the cell edges are 4.599, 4.599 and 27.490 Å and the angles 90.00°, 90.00° and 90.00°. The inequivalent atoms are Ce at (0.000, 0.500, 0.085), Pm at (0.000, 0.000, 0.204), Bi at (0.000, 0.000, 0.323), Bi at (0.000, 0.000, 0.500) and H at (0.000, 0.000, 0.071).

***

- size of the total moment of number 1 (Ce4Pm2Bi3H2)?
  4.009 μB/f.u.